5
Lattice="4.643 0.000 0.000 0.000 4.643 0.000 0.000 0.000 4.643" Properties=species:S:1:pos:R:3 comment="CdIrRu3 | Alexandria | GGA-PBEsol | optimized geometry" final_energy_ev_per_cell=-26.6 e_form_ev_per_atom=2.984 crystal_system=cubic total_magnetization_mub_per_fu=5.0 pbc="T T T"
Cd 0.000 0.000 0.000
Ru 2.321 0.000 0.000
Ru 0.000 0.000 2.321
Ir 2.321 2.321 2.321
Ru 0.000 2.321 0.000